one | Computed, not measured: a geometry-optimized K2LiCu structure at the PBE-GGA level of DFT.

abc: 8.161 8.287 4.339
angles: 90.00 90.00 90.00
Space group Cmmm (No. 65)
Symmetry-distinct sites (fractional):
K (0.250, 0.250, 0.000)
Li (0.000, 0.000, 0.500)
Cu (0.000, 0.500, 0.500)

Output
Volume ... 36.7 Å³ per atom

two | Computed, not measured: a geometry-optimized K2LiCu structure at the PBE-GGA level of DFT.

abc: 3.786 3.786 9.996
angles: 90.00 90.00 90.00
Space group P4mm (No. 99)
Symmetry-distinct sites (fractional):
K (0.000, 0.000, 0.000)
K (0.500, 0.500, 0.408)
Li (0.000, 0.000, 0.685)
Cu (0.500, 0.500, 0.749)

Output
Volume ... 35.8 Å³ per atom

three | Computed, not measured: a geometry-optimized K2LiCu structure at the PBE-GGA level of DFT.

abc: 13.133 4.219 5.866
angles: 90.00 116.32 90.00
Space group Cm (No. 8)
Symmetry-distinct sites (fractional):
K (0.000, 0.000, 0.000)
K (0.199, 0.000, 0.699)
Li (0.382, 0.000, 0.382)
Cu (0.260, 0.500, 0.257)

Output
Volume ... 36.4 Å³ per atom

Result of the stability comparison: two is the most stable of them.

one | Computed, not measured: a geometry-optimized K2LiCu structure at the PBE-GGA level of DFT.

abc: 5.723 5.723 8.028
angles: 90.00 90.00 90.00
Space group I-4m2 (No. 119)
Symmetry-distinct sites (fractional):
K (0.000, 0.000, 0.000)
K (0.000, 0.500, 0.250)
Li (0.000, 0.000, 0.500)
Cu (0.000, 0.500, 0.750)

Output
Volume ... 32.9 Å³ per atom

two | Computed, not measured: a geometry-optimized K2LiCu structure at the PBE-GGA level of DFT.

abc: 4.021 4.091 9.090
angles: 90.00 90.10 90.00
Space group P2/m (No. 10)
Symmetry-distinct sites (fractional):
K (0.000, 0.000, 0.212)
Li (0.500, 0.500, 0.500)
Cu (0.500, 0.500, 0.000)

Output
Volume ... 37.4 Å³ per atom

three | Computed, not measured: a geometry-optimized K2LiCu structure at the PBE-GGA level of DFT.

abc: 4.3957 4.3957 30.4100
angles: 90.00 90.00 120.00
Space group R-3m (No. 166, hexagonal axes)
Symmetry-distinct sites (fractional):
K (0.0000, 0.0000, 0.2353)
Li (0.0000, 0.0000, 0.0000)
Cu (0.0000, 0.0000, 0.5000)

Output
Volume ... 42.4 Å³ per atom

Result of the stability comparison: two is the most stable of them.

one | Computed, not measured: a geometry-optimized KLi2Cu2 structure at the PBE-GGA level of DFT.

abc: 8.147 8.147 2.833
angles: 90.00 90.00 90.00
Space group P4/mbm (No. 127)
Symmetry-distinct sites (fractional):
K (0.000, 0.000, 0.000)
Li (0.162, 0.338, 0.000)
Cu (0.115, 0.615, 0.500)

Output
Volume ... 18.8 Å³ per atom

two | Computed, not measured: a geometry-optimized KLi2Cu2 structure at the PBE-GGA level of DFT.

abc: 4.456 4.456 11.018
angles: 90.00 90.00 90.00
Space group I4/mmm (No. 139)
Symmetry-distinct sites (fractional):
K (0.000, 0.000, 0.000)
Li (0.000, 0.500, 0.250)
Cu (0.000, 0.000, 0.389)

Output
Volume ... 21.9 Å³ per atom

Result of the stability comparison: two is the most stable of them.

one | Computed, not measured: a geometry-optimized KLi3Cu structure at the PBE-GGA level of DFT.

abc: 5.054 5.054 5.054
angles: 90.00 90.00 90.00
Space group Pm-3m (No. 221)
Symmetry-distinct sites (fractional):
K (0.000, 0.000, 0.000)
Li (0.000, 0.000, 0.500)
Cu (0.500, 0.500, 0.500)

Output
Volume ... 25.8 Å³ per atom

two | Computed, not measured: a geometry-optimized KLi3Cu structure at the PBE-GGA level of DFT.

abc: 5.097 5.097 5.097
angles: 90.00 90.00 90.00
Space group Pm-3m (No. 221)
Symmetry-distinct sites (fractional):
K (0.000, 0.000, 0.000)
Li (0.000, 0.500, 0.500)
Cu (0.500, 0.500, 0.500)

Output
Volume ... 26.5 Å³ per atom

Result of the stability comparison: two is the most stable of them.

one | Computed, not measured: a geometry-optimized KLiCu3 structure at the PBE-GGA level of DFT.

abc: 5.473 5.473 5.473
angles: 90.00 90.00 90.00
Space group Pm-3m (No. 221)
Symmetry-distinct sites (fractional):
K (0.000, 0.000, 0.000)
Li (0.500, 0.500, 0.500)
Cu (0.000, 0.000, 0.500)

Output
Volume ... 32.8 Å³ per atom

two | Computed, not measured: a geometry-optimized KLiCu3 structure at the PBE-GGA level of DFT.

abc: 4.659 4.659 4.659
angles: 90.00 90.00 90.00
Space group Pm-3m (No. 221)
Symmetry-distinct sites (fractional):
K (0.000, 0.000, 0.000)
Li (0.500, 0.500, 0.500)
Cu (0.000, 0.500, 0.500)

Output
Volume ... 20.2 Å³ per atom

Result of the stability comparison: two is the most stable of them.

one | Computed, not measured: a geometry-optimized KSr2LiCu structure at the PBE-GGA level of DFT.

abc: 6.011 6.011 6.246
angles: 90.00 90.00 90.00
Space group P4/mmm (No. 123)
Symmetry-distinct sites (fractional):
K (0.000, 0.000, 0.000)
Sr (0.000, 0.500, 0.500)
Li (0.500, 0.500, 0.000)
Cu (0.000, 0.000, 0.500)

Output
Volume ... 45.1 Å³ per atom

two | Computed, not measured: a geometry-optimized KSr2LiCu structure at the PBE-GGA level of DFT.

abc: 6.093 6.093 5.507
angles: 90.00 90.00 90.00
Space group P4/mmm (No. 123)
Symmetry-distinct sites (fractional):
K (0.000, 0.000, 0.000)
Sr (0.000, 0.500, 0.500)
Li (0.500, 0.500, 0.000)
Cu (0.500, 0.500, 0.500)

Output
Volume ... 40.9 Å³ per atom

Result of the stability comparison: two is the most stable of them.

one | Computed, not measured: a geometry-optimized KMg2Cu structure at the PBE-GGA level of DFT.

abc: 9.244 3.727 7.558
angles: 90.00 110.71 90.00
Space group Cm (No. 8)
Symmetry-distinct sites (fractional):
K (0.000, 0.000, 0.000)
Mg (0.169, 0.000, 0.620)
Mg (0.401, 0.000, 0.392)
Cu (0.195, 0.500, 0.392)

Output
Volume ... 30.4 Å³ per atom

two | Computed, not measured: a geometry-optimized KMg2Cu structure at the PBE-GGA level of DFT.

abc: 3.9926 3.9926 26.1090
angles: 90.00 90.00 120.00
Space group R-3m (No. 166, hexagonal axes)
Symmetry-distinct sites (fractional):
K (0.0000, 0.0000, 0.0000)
Mg (0.0000, 0.0000, 0.2149)
Cu (0.0000, 0.0000, 0.5000)

Output
Volume ... 30.0 Å³ per atom

three | Computed, not measured: a geometry-optimized KMg2Cu structure at the PBE-GGA level of DFT.

abc: 4.530 4.530 5.161
angles: 90.00 90.00 90.00
Space group P4/mmm (No. 123)
Symmetry-distinct sites (fractional):
K (0.000, 0.000, 0.000)
Mg (0.000, 0.500, 0.500)
Cu (0.500, 0.500, 0.000)

Output
Volume ... 26.5 Å³ per atom

four | Computed, not measured: a geometry-optimized KMg2Cu structure at the PBE-GGA level of DFT.

abc: 3.191 4.327 16.439
angles: 90.00 90.00 90.00
Space group Imm2 (No. 44)
Symmetry-distinct sites (fractional):
K (0.000, 0.000, 0.000)
Mg (0.000, 0.000, 0.675)
Mg (0.000, 0.500, 0.815)
Cu (0.000, 0.500, 0.308)

Output
Volume ... 28.4 Å³ per atom

Result of the stability comparison: four is the most stable of them.

one | Computed, not measured: a geometry-optimized KMg2Cu structure at the PBE-GGA level of DFT.

abc: 6.233 6.233 15.683
angles: 90.00 90.00 90.00
Space group I4_1/amd (No. 141, origin choice 2)
Symmetry-distinct sites (fractional):
K (0.000, 0.250, 0.375)
Mg (0.000, 0.000, 0.000)
Cu (0.000, 0.250, 0.875)

Output
Volume ... 38.1 Å³ per atom

two | Computed, not measured: a geometry-optimized KMg2Cu structure at the PBE-GGA level of DFT.

abc: 3.671 3.521 8.317
angles: 90.00 90.20 90.00
Space group Pm (No. 6)
Symmetry-distinct sites (fractional):
K (0.000, 0.000, 0.000)
Mg (0.499, 0.500, 0.643)
Mg (0.998, 0.000, 0.416)
Cu (0.498, 0.500, 0.314)

Output
Volume ... 26.9 Å³ per atom

three | Computed, not measured: a geometry-optimized KMg2Cu structure at the PBE-GGA level of DFT.

abc: 12.923 3.097 5.703
angles: 90.00 116.07 90.00
Space group C2/m (No. 12)
Symmetry-distinct sites (fractional):
K (0.000, 0.000, 0.000)
Mg (0.194, 0.000, 0.694)
Cu (0.000, 0.500, 0.500)

Output
Volume ... 25.6 Å³ per atom

Result of the stability comparison: two is the most stable of them.